## Ho2CdPt9 (PBE)

Data for a geometry-optimized Ho2CdPt9 structure.

Output
For the electronic total energy, the calculation gives -6.13 eV/atom.

a b c (Å): 4.092 4.092 12.243
angles (deg): 90.00 90.00 90.00
Positions (direct):
Pt: 0.500 0.500 0.332
Pt: 0.500 0.500 0.668
Cd: 0.000 0.000 0.000
Pt: 0.000 0.500 0.500
Pt: 0.000 0.500 0.837
Pt: 0.500 0.500 0.000
Pt: 0.000 0.500 0.163
Pt: 0.500 0.000 0.163
Pt: 0.500 0.000 0.500
Ho: 0.000 0.000 0.331
Pt: 0.500 0.000 0.837
Ho: 0.000 0.000 0.669